Entry 1:
Pr3InTc | PBE | relaxed

Calculated values
calculated formation energy = 40 meV/atom

Cell and atoms, written as CIF:
```
data_Pr3InTc
_chemical_formula_sum 'Pr3 In1 Tc1'
_cell_length_a 5.4443
_cell_length_b 5.4443
_cell_length_c 5.4443
_cell_angle_alpha 90.00
_cell_angle_beta 90.00
_cell_angle_gamma 90.00
_symmetry_space_group_name_H-M 'P m -3 m'
_symmetry_Int_Tables_number 221
_symmetry_space_group_name_Hall '-P 4 2 3'
loop_
_atom_site_label
_atom_site_type_symbol
_atom_site_fract_x
_atom_site_fract_y
_atom_site_fract_z
Pr1 Pr 0.0000 0.0000 0.5000
In1 In 0.5000 0.5000 0.5000
Tc1 Tc 0.0000 0.0000 0.0000
```


Entry 2:
Pr4InTc | PBE | relaxed

Calculated values
calculated formation energy = -158 meV/atom

Cell and atoms, written as CIF:
```
data_Pr4InTc
_chemical_formula_sum 'Pr16 In4 Tc4'
_cell_length_a 9.0109
_cell_length_b 13.5138
_cell_length_c 6.4356
_cell_angle_alpha 90.00
_cell_angle_beta 107.81
_cell_angle_gamma 90.00
_symmetry_space_group_name_H-M 'C 1 2/c 1'
_symmetry_Int_Tables_number 15
loop_
_symmetry_equiv_pos_as_xyz
'x,y,z'
'-x,-y,-z'
'-x,y,-z+1/2'
'x,-y,z+1/2'
'x+1/2,y+1/2,z'
'-x+1/2,-y+1/2,-z'
'-x+1/2,y+1/2,-z+1/2'
'x+1/2,-y+1/2,z+1/2'
loop_
_atom_site_label
_atom_site_type_symbol
_atom_site_fract_x
_atom_site_fract_y
_atom_site_fract_z
Pr1 Pr 0.1100 0.1666 0.0476
Pr2 Pr 0.2152 0.4205 0.3910
In1 In 0.0000 0.3772 0.7500
Tc1 Tc 0.0000 0.0007 0.7500
```


Entry 3:
Pr10In3Te3 | PBE | relaxed

Calculated values
uncorrected formation energy = -728 meV per atom

Cell and atoms, written as CIF:
```
data_Pr10In3Te3
_chemical_formula_sum 'Pr10 In3 Te3'
_cell_length_a 9.4453
_cell_length_b 9.4453
_cell_length_c 6.6580
_cell_angle_alpha 90.00
_cell_angle_beta 90.00
_cell_angle_gamma 120.00
_symmetry_space_group_name_H-M 'P -6 2 m'
_symmetry_Int_Tables_number 189
_symmetry_space_group_name_Hall 'P -6 -2'
loop_
_atom_site_label
_atom_site_type_symbol
_atom_site_fract_x
_atom_site_fract_y
_atom_site_fract_z
Pr1 Pr 0.0000 0.2462 0.0000
Pr2 Pr 0.0000 0.7558 0.5000
Pr3 Pr 0.3333 0.6667 0.2477
In1 In 0.0000 0.3914 0.5000
Te1 Te 0.0000 0.6156 0.0000
```